1.
The following is a PBE-GGA calculation of crystalline AlCdP at its relaxed geometry, from Alexandria via LeMat-Bulk.

Cell: 3.780 5.366 11.711 Å, 90.00 90.00 90.00°
Space group Fmm2 (No. 42)
Asymmetric unit:
Al 0.000 0.000 0.000
Cd 0.000 0.000 0.691
P 0.000 0.000 0.378

Summary:
**Calculated formation energy**: 0.1948 eV/atom
**DOS(E_F)**: 0.307 states/eV/atom
**Density**: 4.76 g cm⁻³
**Magnetization**: 0.000 μB per atom



2.
The following is a PBE-GGA calculation of crystalline NaCu2IrO8 at its relaxed geometry, from Alexandria via LeMat-Bulk.

Cell: 6.707 6.707 6.421 Å, 90.00 90.00 90.00°
Space group I-4m2 (No. 119)
Asymmetric unit:
Na 0.000 0.000 0.000
Cu 0.000 0.000 0.500
Cu 0.000 0.500 0.750
Ir 0.000 0.500 0.250
O 0.000 0.218 0.307
O 0.000 0.339 0.979

Summary:
**DOS(E_F)**: 0.070 states/eV/atom
**Density**: 5.41 g cm⁻³
**DFT total energy**: -121.3 eV/cell
**Magnetization**: 0.000 μB per atom



3.
The following is a PBE-GGA calculation of crystalline K2MgPPb at its relaxed geometry, from Alexandria via LeMat-Bulk.

Cell: 6.867 6.867 4.523 Å, 90.00 90.00 90.00°
Space group P4/mmm (No. 123)
Asymmetric unit:
K 0.000 0.500 0.000
Mg 0.000 0.000 0.000
P 0.000 0.000 0.500
Pb 0.500 0.500 0.500

Summary:
**Calculated formation energy**: 0.2162 eV/atom
**DOS(E_F)**: 0.420 states/eV/atom
**Density**: 2.65 g cm⁻³
**Magnetization**: 0.220 μB per atom



4.
The following is a PBE-GGA calculation of crystalline ScBeAgI2 at its relaxed geometry, from Alexandria via LeMat-Bulk.

Cell: 5.675 5.675 5.442 Å, 90.00 90.00 90.00°
Space group P4/mmm (No. 123)
Asymmetric unit:
Sc 0.000 0.000 0.000
Be 0.500 0.500 0.000
Ag 0.000 0.000 0.500
I 0.000 0.500 0.500

Summary:
**DOS(E_F)**: 1.450 states/eV/atom
**Density**: 3.94 g cm⁻³
**DFT total energy**: -11.8 eV/cell
**Magnetization**: 0.183 μB per atom



5.
The following is a PBE-GGA calculation of crystalline Tb4Sn2H at its relaxed geometry, from Alexandria via LeMat-Bulk.

Cell: 6.312 6.515 9.160 Å, 90.00 109.63 90.00°
Space group P2_1/m (No. 11)
Asymmetric unit:
Tb 0.035 0.001 0.292
Tb 0.371 0.750 0.059
Tb 0.432 0.750 0.648
Sn 0.188 0.250 0.031
Sn 0.333 0.250 0.598
H 0.216 0.750 0.798

Summary:
**DOS(E_F)**: 0.781 states/eV/atom
**Density**: 8.18 g cm⁻³
**DFT total energy**: -68.5 eV/cell
**Magnetization**: 0.000 μB per atom



6.
The following is a PBE-GGA calculation of crystalline SrSm2Hg4 at its relaxed geometry, from Alexandria via LeMat-Bulk.

Cell: 5.2724 5.2724 27.8610 Å, 90.00 90.00 120.00°
Space group R-3m (No. 166, hexagonal axes)
Asymmetric unit:
Sr 0.0000 0.0000 0.0000
Sm 0.0000 0.0000 0.2294
Hg 0.0000 0.0000 0.1177
Hg 0.0000 0.0000 0.4051

Summary:
**Calculated formation energy**: -0.3194 eV/atom
**DOS(E_F)**: 0.748 states/eV/atom
**Density**: 8.84 g cm⁻³
**Magnetization**: 0.000 μB per atom



Look up the density of the fifth one.
8.18 g cm⁻³



What did the sixth record say?
The following is a PBE-GGA calculation of crystalline SrSm2Hg4 at its relaxed geometry, from Alexandria via LeMat-Bulk.

Cell: 5.2724 5.2724 27.8610 Å, 90.00 90.00 120.00°
Space group R-3m (No. 166, hexagonal axes)
Asymmetric unit:
Sr 0.0000 0.0000 0.0000
Sm 0.0000 0.0000 0.2294
Hg 0.0000 0.0000 0.1177
Hg 0.0000 0.0000 0.4051

Summary:
**Calculated formation energy**: -0.3194 eV/atom
**DOS(E_F)**: 0.748 states/eV/atom
**Density**: 8.84 g cm⁻³
**Magnetization**: 0.000 μB per atom



Which value of magnetization does entry 5 give?
0.000 μB per atom